No. 1
A plane-wave DFT calculation with PBE-GGA was carried out for a geometry-optimized LaSmErCd structure.

Calculated values
M_tot = 0.000 μB per atom
polymorph energy (0 for the lowest one) = 0 meV per atom

Lattice parameters (Å, degrees): 3.6745 3.6745 9.0879 90.00 90.00 90.00
Space group P4mm (No. 99)
Symmetry-distinct sites (fractional):
La (0.0000, 0.0000, 0.0000)
Sm (0.5000, 0.5000, 0.7127)
Er (0.5000, 0.5000, 0.2775)
Cd (0.0000, 0.0000, 0.4846)

=====

No. 2
A plane-wave DFT calculation with PBE-GGA was carried out for a geometry-optimized LaErCdSn structure.

Calculated values
M_tot = 0.000 μB per atom
energy = -65.87 eV per cell

Lattice parameters (Å, degrees): 7.6454 7.6454 7.6454 90.00 90.00 90.00
Space group F-43m (No. 216)
Symmetry-distinct sites (fractional):
La (0.0000, 0.0000, 0.0000)
Er (0.0000, 0.0000, 0.5000)
Cd (0.2500, 0.2500, 0.2500)
Sn (0.2500, 0.2500, 0.7500)